Computed, not measured: crystalline ThPd4Rh at its relaxed geometry at the PBE level of DFT.

Lattice parameters (Å, degrees): 5.3301 5.3301 5.3301 60.00 60.00 60.00
Element x y z (fractional)
Pd (0.6243, 0.1271, 0.6243)
Pd (0.6243, 0.6243, 0.1271)
Pd (0.6243, 0.6243, 0.6243)
Pd (0.1271, 0.6243, 0.6243)
Th (0.0000, 0.0000, 0.0000)
Rh (0.2500, 0.2500, 0.2500)

Results
DFT formation energy = -0.47 eV per atom
energy above the most stable polymorph in this dataset = 70.6 meV per atom
symmetry = F-43m